# 1
Entry from Alexandria via LeMat-Bulk: AlSiNiPd after structural relaxation (GGA-PBE).

Results
Energy = -5.52 eV/atom
Spin magnetization = 0.000 μB/cell
Formation energy without anion corrections = -188 kJ/mol of formula units
SG = F-43m (216)
Crystal system = cubic

a b c (Å): 4.197 4.197 4.197
angles (deg): 60.00 60.00 60.00
Atoms (fractional coordinates):
Ni  0.750  0.750  0.750
Si  0.000  0.000  0.000
Al  0.500  0.500  0.500
Pd  0.250  0.250  0.250

# 2
Entry from Alexandria via LeMat-Bulk: SmAl3NiPd after structural relaxation (GGA-PBE).

Results
Energy = -5.03 eV/atom
Spin magnetization = 0.000 μB/cell
DFT formation energy = -542 meV per atom
SG = Cmcm (63)
Crystal system = orthorhombic

a b c (Å): 5.749 6.169 6.848
angles (deg): 116.77 90.00 90.00
Atoms (fractional coordinates):
Sm  0.750  0.274  0.548
Sm  0.250  0.726  0.452
Al  0.250  0.140  0.280
Al  0.000  0.286  0.000
Al  0.500  0.714  0.000
Al  0.500  0.286  0.000
Al  0.000  0.714  0.000
Al  0.750  0.860  0.720
Ni  0.250  0.938  0.876
Ni  0.750  0.062  0.124
Pd  0.250  0.353  0.706
Pd  0.750  0.647  0.294

# 3
Entry from Alexandria via LeMat-Bulk: Sm2Al4NiPd3 after structural relaxation (GGA-PBE).

Results
Energy = -5.35 eV/atom
Spin magnetization = 0.000 μB/cell
DFT formation energy = -777 meV per atom
SG = P-4m2 (115)
Crystal system = tetragonal

a b c (Å): 4.352 4.352 9.899
angles (deg): 90.00 90.00 90.00
Atoms (fractional coordinates):
Sm  0.500  0.000  0.258
Sm  0.000  0.500  0.742
Al  0.500  0.500  0.000
Al  0.000  0.000  0.000
Al  0.500  0.000  0.618
Al  0.000  0.500  0.382
Ni  0.500  0.500  0.500
Pd  0.000  0.000  0.500
Pd  0.500  0.000  0.868
Pd  0.000  0.500  0.132

# 4
Entry from Alexandria via LeMat-Bulk: SmAl4NiPd2 after structural relaxation (GGA-PBE).

Results
Energy = -5.19 eV/atom
Spin magnetization = 0.000 μB/cell
DFT formation energy = -711 meV per atom
SG = R-3m (166)
Crystal system = trigonal

a b c (Å): 4.232 4.232 9.183
angles (deg): 76.68 76.68 60.00
Atoms (fractional coordinates):
Sm  0.000  0.000  0.000
Al  0.407  0.407  0.780
Al  0.864  0.864  0.409
Al  0.136  0.136  0.591
Al  0.593  0.593  0.220
Ni  0.500  0.500  0.500
Pd  0.764  0.764  0.707
Pd  0.236  0.236  0.293

# 5
Entry from Alexandria via LeMat-Bulk: Sr2Al6NiPd after structural relaxation (GGA-PBE).

Results
Energy = -3.96 eV/atom
Spin magnetization = 0.000 μB/cell
DFT formation energy = -282 meV per atom
SG = Immm (71)
Crystal system = orthorhombic

a b c (Å): 6.715 6.716 6.749
angles (deg): 59.88 59.88 90.00
Atoms (fractional coordinates):
Sr  0.750  0.250  0.500
Sr  0.250  0.750  0.500
Al  0.242  0.242  0.516
Al  0.758  0.758  0.000
Al  0.242  0.758  0.000
Al  0.758  0.242  0.000
Al  0.242  0.242  0.000
Al  0.758  0.758  0.484
Ni  0.000  0.000  0.000
Pd  0.500  0.500  0.000

# 6
Entry from Alexandria via LeMat-Bulk: SrAlNiPd2 after structural relaxation (GGA-PBE).

Results
Energy = -3.90 eV/atom
Spin magnetization = 0.288 μB/cell
DFT formation energy = 417 meV per atom
SG = P4/mmm (123)
Crystal system = tetragonal

a b c (Å): 4.782 5.005 4.782
angles (deg): 90.00 90.00 90.00
Site moments in Bohr magnetons follow the coordinates.
Atoms (fractional coordinates):
Sr  0.000  0.500  0.000  0.00
Al  0.500  0.500  0.500  0.00
Pd  0.000  0.000  0.500  0.07
Pd  0.500  0.000  0.000  0.03
Ni  0.000  0.000  0.000  0.18

# 7
Entry from Alexandria via LeMat-Bulk: Sr2Al12Ni3Pd after structural relaxation (GGA-PBE).

Results
Energy = -3.97 eV/atom
Spin magnetization = 0.000 μB/cell
DFT formation energy = -35 meV per atom
SG = R-3m (166)
Crystal system = trigonal

a b c (Å): 8.153 8.153 8.153
angles (deg): 64.87 64.87 64.87
Atoms (fractional coordinates):
Sr  0.606  0.606  0.606
Sr  0.394  0.394  0.394
Al  0.281  0.281  0.931
Al  0.893  0.893  0.356
Al  0.356  0.893  0.893
Al  0.931  0.281  0.281
Al  0.893  0.356  0.893
Al  0.281  0.931  0.281
Al  0.719  0.719  0.069
Al  0.107  0.107  0.644
Al  0.644  0.107  0.107
Al  0.069  0.719  0.719
Al  0.107  0.644  0.107
Al  0.719  0.069  0.719
Ni  0.500  0.000  0.000
Ni  0.000  0.500  0.000
Ni  0.000  0.000  0.500
Pd  0.000  0.000  0.000

# 8
Entry from Alexandria via LeMat-Bulk: TaAlNiPd after structural relaxation (GGA-PBE).

Results
Energy = -7.07 eV/atom
Spin magnetization = 0.000 μB/cell
DFT formation energy = -425 meV per atom
SG = F-43m (216)
Crystal system = cubic

a b c (Å): 4.373 4.373 4.373
angles (deg): 60.00 60.00 60.00
Atoms (fractional coordinates):
Ni  0.500  0.500  0.500
Al  0.750  0.750  0.750
Pd  0.000  0.000  0.000
Ta  0.250  0.250  0.250

# 9
Entry from Alexandria via LeMat-Bulk: Tb3Al3NiPd2 after structural relaxation (GGA-PBE).

Results
Energy = -5.38 eV/atom
Spin magnetization = 0.000 μB/cell
DFT formation energy = -789 meV per atom
SG = P-62m (189)
Crystal system = hexagonal

a b c (Å): 7.066 7.066 4.078
angles (deg): 90.00 90.00 120.00
Atoms (fractional coordinates):
Tb  0.408  0.408  0.500
Tb  0.592  0.000  0.500
Tb  0.000  0.592  0.500
Al  0.772  0.772  0.000
Al  0.228  0.000  0.000
Al  0.000  0.228  0.000
Ni  0.000  0.000  0.500
Pd  0.667  0.333  0.000
Pd  0.333  0.667  0.000

# 10
Entry from Alexandria via LeMat-Bulk: Tb2Al4NiPd3 after structural relaxation (GGA-PBE).

Results
Energy = -5.34 eV/atom
Spin magnetization = 0.000 μB/cell
DFT formation energy = -781 meV per atom
SG = P-4m2 (115)
Crystal system = tetragonal

a b c (Å): 4.190 4.190 10.432
angles (deg): 90.00 90.00 90.00
Atoms (fractional coordinates):
Tb  0.500  0.000  0.258
Tb  0.000  0.500  0.742
Al  0.500  0.500  0.000
Al  0.000  0.000  0.000
Al  0.500  0.000  0.621
Al  0.000  0.500  0.379
Ni  0.500  0.500  0.500
Pd  0.000  0.000  0.500
Pd  0.500  0.000  0.861
Pd  0.000  0.500  0.139

# 11
Entry from Alexandria via LeMat-Bulk: TbAlNiPd after structural relaxation (GGA-PBE).

Results
Energy = -5.45 eV/atom
Spin magnetization = 0.000 μB/cell
DFT formation energy = -612 meV per atom
SG = F-43m (216)
Crystal system = cubic

a b c (Å): 4.602 4.602 4.602
angles (deg): 60.00 60.00 60.00
Atoms (fractional coordinates):
Ni  0.250  0.250  0.250
Tb  0.000  0.000  0.000
Al  0.500  0.500  0.500
Pd  0.750  0.750  0.750

# 12
Entry from Alexandria via LeMat-Bulk: ThAl3NiPd after structural relaxation (GGA-PBE).

Results
Energy = -5.45 eV/atom
Spin magnetization = 0.000 μB/cell
DFT formation energy = -509 meV per atom
SG = Cmcm (63)
Crystal system = orthorhombic

a b c (Å): 5.859 6.146 6.841
angles (deg): 116.69 90.00 90.00
Atoms (fractional coordinates):
Th  0.750  0.275  0.549
Th  0.250  0.725  0.451
Al  0.250  0.138  0.276
Al  0.000  0.284  0.000
Al  0.500  0.716  0.000
Al  0.500  0.284  0.000
Al  0.000  0.716  0.000
Al  0.750  0.862  0.724
Ni  0.250  0.932  0.865
Ni  0.750  0.068  0.135
Pd  0.250  0.350  0.701
Pd  0.750  0.650  0.299

# 13
Entry from Alexandria via LeMat-Bulk: TiAl2NiPd after structural relaxation (GGA-PBE).

Results
Energy = -5.33 eV/atom
Spin magnetization = 0.000 μB/cell
DFT formation energy = -56 meV per atom
SG = P4/mmm (123)
Crystal system = tetragonal

a b c (Å): 4.389 4.453 4.389
angles (deg): 90.00 90.00 90.00
Atoms (fractional coordinates):
Ni  0.000  0.000  0.000
Al  0.000  0.000  0.500
Al  0.500  0.000  0.000
Pd  0.500  0.500  0.500
Ti  0.000  0.500  0.000

# 14
Entry from Alexandria via LeMat-Bulk: Ti2Al5Ni2Pd after structural relaxation (GGA-PBE).

Results
Energy = -5.68 eV/atom
Spin magnetization = 0.000 μB/cell
DFT formation energy = -558 meV per atom
SG = P4/mbm (127)
Crystal system = tetragonal

a b c (Å): 3.804 8.781 8.781
angles (deg): 90.00 90.00 90.00
Atoms (fractional coordinates):
Ti  0.000  0.679  0.179
Ti  0.000  0.321  0.821
Ti  0.000  0.179  0.321
Ti  0.000  0.821  0.679
Al  0.500  0.207  0.066
Al  0.500  0.793  0.934
Al  0.500  0.066  0.793
Al  0.500  0.707  0.434
Al  0.500  0.934  0.207
Al  0.500  0.293  0.566
Al  0.500  0.566  0.707
Al  0.500  0.434  0.293
Al  0.500  0.500  0.000
Al  0.500  0.000  0.500
Ni  0.000  0.116  0.616
Ni  0.000  0.884  0.384
Ni  0.000  0.616  0.884
Ni  0.000  0.384  0.116
Pd  0.000  0.000  0.000
Pd  0.000  0.500  0.500

# 15
Entry from Alexandria via LeMat-Bulk: TmAlNiPd after structural relaxation (GGA-PBE).

Results
Energy = -5.48 eV/atom
Spin magnetization = 0.000 μB/cell
DFT formation energy = -682 meV per atom
SG = F-43m (216)
Crystal system = cubic

a b c (Å): 4.545 4.545 4.545
angles (deg): 60.00 60.00 60.00
Atoms (fractional coordinates):
Ni  0.250  0.250  0.250
Tm  0.000  0.000  0.000
Al  0.500  0.500  0.500
Pd  0.750  0.750  0.750

# 16
Entry from Alexandria via LeMat-Bulk: AlVNiPd after structural relaxation (GGA-PBE).

Results
Energy = -6.32 eV/atom
Spin magnetization = 0.001 μB/cell
DFT formation energy = -364 meV per atom
SG = F-43m (216)
Crystal system = cubic

a b c (Å): 4.248 4.248 4.248
angles (deg): 60.00 60.00 60.00
Atoms (fractional coordinates):
Ni  0.250  0.250  0.250
Al  0.000  0.000  0.000
Pd  0.750  0.750  0.750
V  0.500  0.500  0.500

# 17
Entry from Alexandria via LeMat-Bulk: YAl3NiPd after structural relaxation (GGA-PBE).

Results
Energy = -5.33 eV/atom
Spin magnetization = 0.000 μB/cell
DFT formation energy = -552 meV per atom
SG = Cmcm (63)
Crystal system = orthorhombic

a b c (Å): 5.672 6.104 6.844
angles (deg): 116.48 90.00 90.00
Atoms (fractional coordinates):
Y  0.750  0.276  0.552
Y  0.250  0.724  0.448
Al  0.250  0.140  0.280
Al  0.000  0.287  0.000
Al  0.500  0.713  0.000
Al  0.500  0.287  0.000
Al  0.000  0.713  0.000
Al  0.750  0.860  0.720
Ni  0.250  0.935  0.871
Ni  0.750  0.065  0.129
Pd  0.250  0.351  0.703
Pd  0.750  0.649  0.297

# 18
Entry from Alexandria via LeMat-Bulk: ZrAlNiPd after structural relaxation (GGA-PBE).

Results
Energy = -6.48 eV/atom
Spin magnetization = 0.000 μB/cell
DFT formation energy = -664 meV per atom
SG = F-43m (216)
Crystal system = cubic

a b c (Å): 4.470 4.470 4.470
angles (deg): 60.00 60.00 60.00
Atoms (fractional coordinates):
Ni  0.250  0.250  0.250
Zr  0.500  0.500  0.500
Pd  0.750  0.750  0.750
Al  0.000  0.000  0.000

# 19
Entry from Alexandria via LeMat-Bulk: PmAlNi4 after structural relaxation (GGA-PBE).

Results
Energy = -5.57 eV/atom
Spin magnetization = 0.000 μB/cell
DFT formation energy = -299 meV per atom
SG = Pmma (51)
Crystal system = orthorhombic
ΔE to the lowest computed polymorph = 0.082 eV per atom

a b c (Å): 3.742 6.726 7.114
angles (deg): 90.00 90.00 90.00
Atoms (fractional coordinates):
Pm  0.000  0.647  0.750
Pm  0.000  0.353  0.250
Al  0.000  0.211  0.750
Al  0.000  0.789  0.250
Ni  0.000  0.000  0.500
Ni  0.000  0.000  0.000
Ni  0.500  0.965  0.750
Ni  0.500  0.035  0.250
Ni  0.500  0.722  0.050
Ni  0.500  0.278  0.950
Ni  0.500  0.722  0.450
Ni  0.500  0.278  0.550

# 20
Entry from Alexandria via LeMat-Bulk: Pm3Al3Ni2 after structural relaxation (GGA-PBE).

Results
Energy = -5.07 eV/atom
Spin magnetization = 0.000 μB/cell
DFT formation energy = -444 meV per atom
SG = Pnma (62)
Crystal system = orthorhombic

a b c (Å): 5.542 8.045 15.237
angles (deg): 90.00 90.00 90.00
Atoms (fractional coordinates):
Pm  0.106  0.463  0.389
Pm  0.606  0.037  0.611
Pm  0.894  0.537  0.889
Pm  0.394  0.963  0.111
Pm  0.894  0.537  0.611
Pm  0.394  0.963  0.389
Pm  0.106  0.463  0.111
Pm  0.606  0.037  0.889
Pm  0.603  0.317  0.250
Pm  0.103  0.183  0.750
Pm  0.397  0.683  0.750
Pm  0.897  0.817  0.250
Al  0.087  0.166  0.250
Al  0.587  0.334  0.750
Al  0.913  0.834  0.750
Al  0.413  0.666  0.250
Al  0.603  0.326  0.466
Al  0.103  0.174  0.534
Al  0.397  0.674  0.966
Al  0.897  0.826  0.034
Al  0.397  0.674  0.534
Al  0.897  0.826  0.466
Al  0.603  0.326  0.034
Al  0.103  0.174  0.966
Ni  0.873  0.113  0.395
Ni  0.373  0.387  0.605
Ni  0.127  0.887  0.895
Ni  0.627  0.613  0.105
Ni  0.127  0.887  0.605
Ni  0.627  0.613  0.395
Ni  0.873  0.113  0.105
Ni  0.373  0.387  0.895